(1)
Below is a relaxed structure of TbAuS2, with properties calculated at the PBE level.

```
TbAuS2
1.0
6.032 0.000 0.000
0.000 6.951 0.000
-0.020 0.000 7.904
Tb Au S
4 4 8
Cartesian
0.976 0.232 1.970
0.966 3.244 5.922
5.046 3.707 1.982
5.036 6.719 5.934
2.946 5.188 7.886
2.956 5.238 3.934
3.056 1.712 3.970
3.066 1.763 0.018
0.393 5.207 0.000
0.383 5.220 3.952
2.236 0.668 5.958
2.246 2.807 2.006
3.767 4.143 5.898
3.777 6.283 1.946
5.629 1.731 3.952
5.639 1.744 0.000
```

DFT total energy in eV per atom: -5.259

=====

(2)
Below is a relaxed structure of ErTaPO, with properties calculated at the PBE level.

```
ErTaPO
1.0
4.077 0.000 0.000
0.000 4.077 0.000
0.000 0.000 7.478
Er Ta P O
2 2 2 2
Cartesian
1.019 3.058 0.000
3.058 1.019 0.000
1.019 1.019 2.921
3.058 3.058 4.557
1.019 1.019 5.609
3.058 3.058 1.869
1.019 3.058 3.739
3.058 1.019 3.739
```

Energy above the lowest structure with this stoichiometry in eV per formula unit: 4.33

=====

(3)
Below is a relaxed structure of NbCuAsAu, with properties calculated at the PBE level.

```
NbCuAsAu
1.0
0.000 3.204 3.204
3.204 0.000 3.204
3.204 3.204 0.000
Nb Cu As Au
1 1 1 1
Cartesian
0.000 0.000 0.000
3.204 3.204 3.204
1.602 1.602 1.602
4.806 4.806 4.806
```

Energy above the lowest structure with this stoichiometry in eV per formula unit: 0.00

=====

(4)
Below is a relaxed structure of SmSc2Cu4Ge4, with properties calculated at the PBE level.

```
SmSc2Cu4Ge4
1.0
-2.027 3.371 6.781
2.027 -3.371 6.781
2.027 3.371 -6.781
Sm Sc Cu Ge
1 2 4 4
Cartesian
0.000 0.000 0.000
2.027 0.000 5.063
0.000 3.371 1.718
2.027 1.302 -2.334
2.027 1.302 2.334
0.000 2.069 4.447
0.000 2.069 9.114
0.000 0.000 3.015
2.027 2.127 0.000
0.000 1.243 6.781
0.000 0.000 10.547
```

DFT total energy in eV per atom: -5.207

=====

(5)
Below is a relaxed structure of LiBe2Ir2, with properties calculated at the PBE level.

```
LiBe2Ir2
1.0
6.077 0.000 0.000
0.000 6.077 0.000
0.000 0.000 2.968
Li Be Ir
2 4 4
Cartesian
0.000 0.000 0.000
3.038 3.038 0.000
0.768 2.270 0.000
2.270 5.308 0.000
3.807 0.768 0.000
5.308 3.807 0.000
1.022 4.060 1.484
2.017 1.022 1.484
4.060 5.055 1.484
5.055 2.017 1.484
```

DFT total energy in eV per atom: -5.876

=====

(6)
Below is a relaxed structure of Er3Zr3Te2Os, with properties calculated at the PBE level.

```
Er3Zr3Te2Os
1.0
8.074 0.000 0.000
-4.037 6.993 0.000
0.000 0.000 3.823
Er Zr Te Os
3 3 2 1
Cartesian
-2.437 4.222 0.000
1.600 2.771 0.000
4.875 0.000 0.000
-0.971 1.682 1.911
1.942 0.000 1.911
3.066 5.311 1.911
0.000 4.662 1.911
4.037 2.331 1.911
0.000 0.000 0.000
```

Energy above the lowest structure with this stoichiometry in eV per formula unit: 0.00